Entry 1:
## Er3Ni4As4 (PBE)

Data for an optimized crystal structure of Er3Ni4As4.

Structure (extended XYZ):
```
11
Lattice="-0.149 2.720 3.009 4.491 -3.554 3.434 2.763 3.871 -6.100" Properties=species:S:1:pos:R:3 pbc="T T T"
Er 1.274 0.892 -0.743
Er 5.830 2.144 1.087
Er 2.246 -1.777 1.717
Ni 2.347 2.945 -2.546
Ni 3.011 1.474 1.554
Ni 4.758 0.091 2.890
Ni 4.093 1.563 -1.210
As 4.379 -0.284 0.473
As 2.726 3.320 -0.129
As 3.495 -1.464 4.234
As 0.848 0.630 2.210
```

Computed properties:
The calculation puts the final energy at -5.953 eV/atom. Its total magnetization is 0.000 μB per formula unit. As for the formation energy from the elements: -0.916 eV/atom.



Entry 2:
## ErNiAs (PBE)

Data for an optimized crystal structure of ErNiAs.

Structure (extended XYZ):
```
3
Lattice="-2.201 1.248 -2.939 -3.202 0.083 2.434 -0.868 3.339 2.069" Properties=species:S:1:pos:R:3 pbc="T T T"
Ni -2.457 1.765 0.032
As -3.814 2.906 1.532
Er 0.000 0.000 0.000
```

Computed properties:
The calculation puts the final energy at -6.042 eV/atom. Its total magnetization is 0.000 μB per formula unit. As for the formation energy from the elements: -1.044 eV/atom.



Entry 3:
## ErNi5As2 (PBE)

Data for an optimized crystal structure of ErNi5As2.

Structure (extended XYZ):
```
8
Lattice="3.549 0.000 1.175 1.238 5.362 2.206 0.006 0.013 5.929" Properties=species:S:1:pos:R:3 pbc="T T T"
Er 0.000 0.000 0.000
Ni 0.622 2.688 4.068
Ni 2.953 2.933 2.972
Ni 1.840 2.442 6.337
Ni 2.302 4.452 4.939
Ni 2.491 0.924 4.371
As 3.593 4.036 6.989
As 1.200 1.339 2.321
```

Computed properties:
The calculation puts the final energy at -5.840 eV/atom. Its total magnetization is 0.000 μB per formula unit. As for the formation energy from the elements: -0.494 eV/atom.



Entry 4:
## Er3Ni7As4 (PBE)

Data for an optimized crystal structure of Er3Ni7As4.

Structure (extended XYZ):
```
14
Lattice="3.819 0.000 0.963 1.404 7.106 2.486 0.053 0.043 7.839" Properties=species:S:1:pos:R:3 pbc="T T T"
Er 1.503 1.331 2.091
Er 3.772 5.818 9.198
Er 0.728 3.574 5.163
Ni 2.409 6.067 6.549
Ni 2.243 1.620 7.207
Ni 3.847 2.754 8.902
Ni 2.866 1.081 4.739
Ni 1.429 4.394 2.387
Ni 0.000 0.000 0.000
Ni 3.032 5.528 4.081
As 3.179 3.195 3.499
As 2.097 3.954 7.789
As 4.665 6.379 5.659
As 0.611 0.769 5.630
```

Computed properties:
The calculation puts the final energy at -5.944 eV/atom. Its total magnetization is 0.000 μB per formula unit. As for the formation energy from the elements: -0.747 eV/atom.



Entry 5:
## ErNi3As3 (PBE)

Data for an optimized crystal structure of ErNi3As3.

Structure (extended XYZ):
```
14
Lattice="-3.308 -5.355 -1.131 5.382 -3.423 0.464 -0.994 -0.712 6.277" Properties=species:S:1:pos:R:3 pbc="T T T"
Ni -1.324 -1.695 2.856
Ni 2.442 -1.889 1.801
Ni 2.382 -5.244 -0.217
Ni -2.978 -4.372 2.290
Ni 1.945 -2.245 4.940
Ni -0.308 -3.533 -0.449
As 0.848 -1.212 3.255
As 3.539 -2.923 3.487
As -2.400 -3.211 4.142
As 0.210 -5.727 -0.616
As -1.902 -2.855 1.004
As 1.864 -3.050 -0.051
Er 0.540 -4.745 2.805
Er 0.000 0.000 0.000
```

Computed properties:
The calculation puts the final energy at -5.390 eV/atom. Its total magnetization is 0.000 μB per formula unit. As for the formation energy from the elements: -0.268 eV/atom.



Entry 6:
## Er2NiAs (PBE)

Data for an optimized crystal structure of Er2NiAs.

Structure (extended XYZ):
```
4
Lattice="3.777 0.000 0.000 1.888 3.271 0.000 1.888 1.090 8.472" Properties=species:S:1:pos:R:3 pbc="T T T"
Ni 0.000 0.000 0.000
As 3.777 2.181 4.236
Er 1.888 1.090 5.960
Er 5.665 3.271 2.512
```

Computed properties:
The calculation puts the final energy at -4.984 eV/atom. Its total magnetization is 0.000 μB per formula unit. As for the formation energy from the elements: -0.095 eV/atom.



Entry 7:
## Er2Ni5As4 (PBE)

Data for an optimized crystal structure of Er2Ni5As4.

Structure (extended XYZ):
```
11
Lattice="-0.048 5.316 0.772 -0.917 3.312 -4.179 -6.858 2.407 1.688" Properties=species:S:1:pos:R:3 pbc="T T T"
Er -1.946 5.246 1.133
Er -4.960 2.477 1.326
Ni -0.024 2.658 0.386
Ni -0.459 1.656 -2.089
Ni -0.483 4.314 -1.704
Ni -3.900 4.189 -1.053
Ni -3.924 6.847 -0.667
As -5.373 5.331 0.333
As -2.451 5.704 -2.053
As -2.082 2.793 -0.675
As -5.742 8.242 -1.045
```

Computed properties:
The calculation puts the final energy at -5.717 eV/atom. Its total magnetization is 0.000 μB per formula unit. As for the formation energy from the elements: -0.569 eV/atom.



Entry 8:
## Er2Ni12As7 (PBE)

Data for an optimized crystal structure of Er2Ni12As7.

Structure (extended XYZ):
```
21
Lattice="3.819 0.000 0.000 0.000 8.142 -4.701 0.000 0.000 9.402" Properties=species:S:1:pos:R:3 pbc="T T T"
Er 0.948 2.714 4.701
Er 2.871 5.428 0.000
Ni 0.958 5.070 -2.394
Ni 0.958 3.534 1.507
Ni 0.958 7.680 0.887
Ni 2.861 3.072 7.095
Ni 2.861 4.608 3.194
Ni 2.861 0.462 3.814
Ni 0.891 0.960 1.875
Ni 0.891 1.144 7.632
Ni 0.891 6.038 4.595
Ni 2.928 7.182 2.826
Ni 2.928 6.998 -2.931
Ni 2.928 2.104 0.106
As 1.910 0.000 0.000
As 0.971 7.211 -1.400
As 0.971 3.324 -0.845
As 0.971 5.749 2.244
As 2.848 0.931 6.101
As 2.848 4.818 5.545
As 2.848 2.394 2.457
```

Computed properties:
The calculation puts the final energy at -5.811 eV/atom. Its total magnetization is 0.000 μB per formula unit. As for the formation energy from the elements: -0.523 eV/atom. Its energy above the lowest structure with this stoichiometry is 8 meV/atom.



Entry 9:
## ErNiAs (PBE)

Data for an optimized crystal structure of ErNiAs.

Structure (extended XYZ):
```
12
Lattice="4.052 0.000 0.000 -2.026 3.509 0.000 0.000 0.000 15.134" Properties=species:S:1:pos:R:3 pbc="T T T"
Ni 2.026 1.170 9.610
Ni 0.000 2.339 2.042
Ni 0.000 2.339 5.525
Ni 2.026 1.170 13.092
As 2.026 1.170 1.817
As 0.000 2.339 9.385
As 0.000 2.339 13.317
As 2.026 1.170 5.750
Er 0.000 0.000 0.000
Er 0.000 0.000 7.567
Er 0.000 0.000 11.351
Er 0.000 0.000 3.784
```

Computed properties:
The calculation puts the final energy at -6.051 eV/atom. Its total magnetization is 0.000 μB per formula unit. As for the formation energy from the elements: -1.053 eV/atom.



Entry 10:
## Er2NiAs2 (PBE)

Data for an optimized crystal structure of Er2NiAs2.

Structure (extended XYZ):
```
10
Lattice="4.081 0.000 0.000 -2.041 3.535 0.000 0.000 0.000 14.092" Properties=species:S:1:pos:R:3 pbc="T T T"
Er 2.041 1.178 8.725
Er 0.000 2.356 1.679
Er 2.041 1.178 4.979
Er 0.000 2.356 12.025
Ni 0.000 0.000 13.972
Ni 0.000 0.000 6.926
As 2.041 1.178 13.873
As 0.000 2.356 6.827
As 0.000 0.000 10.371
As 0.000 0.000 3.325
```

Computed properties:
The calculation puts the final energy at -6.073 eV/atom. Its total magnetization is 0.000 μB per formula unit. As for the formation energy from the elements: -1.232 eV/atom.



Entry 11:
## ErNi3As2 (PBE)

Data for an optimized crystal structure of ErNi3As2.

Structure (extended XYZ):
```
12
Lattice="-3.710 -1.143 0.261 2.806 -3.857 -5.994 1.330 -2.893 6.245" Properties=species:S:1:pos:R:3 pbc="T T T"
Er 0.051 -6.373 1.828
Er 0.375 -1.519 -1.315
Ni 1.339 -4.388 -0.182
Ni -0.172 -6.379 -1.363
Ni -0.760 -3.423 3.209
Ni 1.187 -4.469 -2.695
Ni 0.598 -1.514 1.877
Ni -0.912 -3.504 0.695
As 1.985 -6.580 -0.593
As -1.558 -1.312 1.106
As -0.875 -4.138 -1.554
As 1.302 -3.754 2.067
```

Computed properties:
The calculation puts the final energy at -5.831 eV/atom. Its total magnetization is 0.000 μB per formula unit. As for the formation energy from the elements: -0.630 eV/atom. Its energy above the lowest structure with this stoichiometry is 80 meV/atom.



Entry 12:
## Er2Ni5As3 (PBE)

Data for an optimized crystal structure of Er2Ni5As3.

Structure (extended XYZ):
```
20
Lattice="4.004 0.000 -0.682 0.000 6.517 0.000 -0.079 0.000 11.630" Properties=species:S:1:pos:R:3 pbc="T T T"
Er 1.855 4.872 10.887
Er 0.671 4.866 3.941
Er 3.254 1.608 7.007
Er 2.070 1.613 0.061
Ni 1.516 2.868 8.902
Ni 1.091 3.393 6.407
Ni 2.833 0.134 4.541
Ni 0.479 1.492 2.811
Ni 1.124 5.954 6.598
Ni 3.715 0.386 9.716
Ni 2.801 2.695 4.350
Ni 3.446 4.751 8.137
Ni 0.210 3.645 1.232
Ni 2.409 6.127 2.047
As 3.047 4.662 5.797
As 2.420 3.515 2.114
As 0.197 6.214 1.157
As 0.877 1.403 5.151
As 3.728 2.956 9.791
As 1.505 0.257 8.834
```

Computed properties:
The calculation puts the final energy at -5.849 eV/atom. Its total magnetization is 0.000 μB per formula unit. As for the formation energy from the elements: -0.650 eV/atom.



Entry 13:
## ErNi2As (PBE)

Data for an optimized crystal structure of ErNi2As.

Structure (extended XYZ):
```
8
Lattice="3.786 0.000 0.000 0.000 3.786 0.000 0.000 0.000 9.049" Properties=species:S:1:pos:R:3 pbc="T T T"
Er 1.893 0.000 1.978
Er 0.000 1.893 7.071
Ni 1.893 0.000 8.351
Ni 0.000 1.893 0.698
Ni 0.000 0.000 4.524
Ni 1.893 1.893 4.524
As 1.893 0.000 5.957
As 0.000 1.893 3.092
```

Computed properties:
The calculation puts the final energy at -5.794 eV/atom. Its total magnetization is 0.000 μB per formula unit. As for the formation energy from the elements: -0.601 eV/atom.



Entry 14:
## ErNiAs (PBE)

Data for an optimized crystal structure of ErNiAs.

Structure (extended XYZ):
```
6
Lattice="4.040 0.000 0.000 -2.020 3.499 0.000 0.000 0.000 7.634" Properties=species:S:1:pos:R:3 pbc="T T T"
Ni 0.000 2.332 1.908
Ni 2.020 1.166 5.725
As 2.020 1.166 1.908
As 0.000 2.332 5.725
Er 0.000 0.000 3.817
Er 0.000 0.000 0.000
```

Computed properties:
The calculation puts the final energy at -6.040 eV/atom. Its total magnetization is 0.000 μB per formula unit. As for the formation energy from the elements: -1.042 eV/atom.



Entry 15:
## ErNi3As2 (PBE)

Data for an optimized crystal structure of ErNi3As2.

Structure (extended XYZ):
```
18
Lattice="-1.755 1.908 -2.837 6.731 -2.676 -3.361 -6.247 -6.955 -0.813" Properties=species:S:1:pos:R:3 pbc="T T T"
Er -2.559 -5.406 -2.052
Er 1.288 -2.317 -4.957
Er 0.000 0.000 0.000
Ni -1.613 -2.530 -0.703
Ni 0.342 -5.193 -6.307
Ni 0.100 -3.444 -2.377
Ni -1.371 -4.279 -4.632
Ni -0.689 -0.879 -2.767
Ni -0.582 -6.844 -4.243
Ni -4.001 -2.524 -1.825
Ni 3.598 -1.337 -3.125
Ni -4.869 -6.386 -3.885
As 1.524 -1.588 -2.011
As -2.795 -6.135 -4.999
As 4.093 -3.101 -4.618
As -5.364 -4.622 -2.392
As 0.813 -5.013 -3.874
As -2.084 -2.710 -3.136
```

Computed properties:
The calculation puts the final energy at -5.911 eV/atom. Its total magnetization is 0.000 μB per formula unit. As for the formation energy from the elements: -0.710 eV/atom. Its energy above the lowest structure with this stoichiometry is 0 meV/atom.



Record order is preserved below.
V: 16.45, 18.11, 14.09, 15.14, 18.68, 26.16, 15.97, 13.92, 17.93, 20.33, 15.17, 15.16, 16.21, 17.98, 14.88 Å³/atom